Entry 1:
# MgZrO2F, optimized geometry, DFT PBE
data_MgZrO2F
_chemical_formula_sum 'Mg1 Zr1 O2 F1'
_symmetry_space_group_name_H-M 'P 4/m m m'
_symmetry_Int_Tables_number 123
_symmetry_space_group_name_Hall '-P 4 2'
_cell_length_a 4.159
_cell_length_b 4.159
_cell_length_c 4.314
_cell_angle_alpha 90.00
_cell_angle_beta 90.00
_cell_angle_gamma 90.00
loop_
_atom_site_label
_atom_site_type_symbol
_atom_site_fract_x
_atom_site_fract_y
_atom_site_fract_z
Mg1 Mg 0.000 0.000 0.000
Zr1 Zr 0.500 0.500 0.500
O1 O 0.000 0.500 0.500
F1 F 0.500 0.500 0.000
# - Formation energy (no corrections): -2.41 eV/atom
# - M_tot: 0.09 Bohr magnetons per cell

Entry 2:
# MgOsF6, optimized geometry, DFT PBE
data_MgOsF6
_chemical_formula_sum 'Mg2 Os2 F12'
_symmetry_space_group_name_H-M 'P -3 1 c'
_symmetry_Int_Tables_number 163
_symmetry_space_group_name_Hall '-P 3 2c'
_cell_length_a 5.0626
_cell_length_b 5.0626
_cell_length_c 9.4456
_cell_angle_alpha 90.00
_cell_angle_beta 90.00
_cell_angle_gamma 120.00
loop_
_atom_site_label
_atom_site_type_symbol
_atom_site_fract_x
_atom_site_fract_y
_atom_site_fract_z
Mg1 Mg 0.3333 0.6667 0.2500
Os1 Os 0.0000 0.0000 0.0000
F1 F 0.0314 0.3298 0.1228
# - Formation energy (no corrections): -2.31 eV/atom
# - M_tot: 4.00 Bohr magnetons per cell

Entry 3:
# MgOsF2, optimized geometry, DFT PBE
data_MgOsF2
_chemical_formula_sum 'Mg4 Os4 F8'
_symmetry_space_group_name_H-M 'I -4 2 d'
_symmetry_Int_Tables_number 122
_symmetry_space_group_name_Hall 'I -4 2bw'
_cell_length_a 5.133
_cell_length_b 5.133
_cell_length_c 8.821
_cell_angle_alpha 90.00
_cell_angle_beta 90.00
_cell_angle_gamma 90.00
loop_
_atom_site_label
_atom_site_type_symbol
_atom_site_fract_x
_atom_site_fract_y
_atom_site_fract_z
Mg1 Mg 0.000 0.000 0.000
Os1 Os 0.000 0.000 0.500
F1 F 0.151 0.250 0.125
# - Formation energy (no corrections): -0.63 eV/atom
# - Energy relative to the lowest polymorph listed for this composition: 1057 meV/atom
# - M_tot: 0.00 Bohr magnetons per cell

Repeat the third record exactly.
# MgOsF2, optimized geometry, DFT PBE
data_MgOsF2
_chemical_formula_sum 'Mg4 Os4 F8'
_symmetry_space_group_name_H-M 'I -4 2 d'
_symmetry_Int_Tables_number 122
_symmetry_space_group_name_Hall 'I -4 2bw'
_cell_length_a 5.133
_cell_length_b 5.133
_cell_length_c 8.821
_cell_angle_alpha 90.00
_cell_angle_beta 90.00
_cell_angle_gamma 90.00
loop_
_atom_site_label
_atom_site_type_symbol
_atom_site_fract_x
_atom_site_fract_y
_atom_site_fract_z
Mg1 Mg 0.000 0.000 0.000
Os1 Os 0.000 0.000 0.500
F1 F 0.151 0.250 0.125
# - Formation energy (no corrections): -0.63 eV/atom
# - Energy relative to the lowest polymorph listed for this composition: 1057 meV/atom
# - M_tot: 0.00 Bohr magnetons per cell